(1)
{
  "formula": "PbBr2",
  "functional": "GGA-PBEsol",
  "state": "relaxed",
  "formation_energy_uncorrected_mev_per_atom": -780,
  "m_tot_mub_per_atom": 0.000,
  "lattice": [[-0.5764, 2.0595, -3.5988], [-3.1776, -2.0923, 1.7464], [-3.5114, 11.1089, 6.9198]],
  "species": ["Pb", "Pb", "Br", "Br", "Br", "Br"],
  "fractional_positions": [[0.0000, 0.0000, 0.7500], [0.0000, 0.0000, 0.2500], [0.3333, 0.6667, 0.6142], [0.6667, 0.3333, 0.1142], [0.6667, 0.3333, 0.3858], [0.3333, 0.6667, 0.8858]]
}


(2)
{
  "formula": "SiTe2",
  "functional": "GGA-PBEsol",
  "state": "relaxed",
  "formation_energy_uncorrected_mev_per_atom": 356,
  "m_tot_mub_per_atom": 0.000,
  "lattice": [[3.6605, 0.0000, 0.0000], [0.0000, 3.6605, 0.0000], [-1.8303, -1.8303, 11.3799]],
  "species": ["Si", "Si", "Te", "Te", "Te", "Te"],
  "fractional_positions": [[0.2500, 0.7500, 0.5000], [0.0000, 0.0000, 0.0000], [0.8193, 0.3193, 0.6386], [0.4307, 0.4307, 0.8614], [0.6807, 0.1807, 0.3614], [0.5693, 0.5693, 0.1386]]
}


(3)
{
  "formula": "ZrTaIn",
  "functional": "GGA-PBEsol",
  "state": "relaxed",
  "ef_mev_per_atom": 643,
  "m_tot_mub_per_atom": 0.000,
  "lattice": [[-2.2533, 3.8747, 1.0541], [-4.4123, -0.1847, 1.3037], [-1.1477, 0.8793, 4.3717]],
  "species": ["In", "Ta", "Zr"],
  "fractional_positions": [[0.2500, 0.2500, 0.2500], [0.0000, 0.0000, 0.0000], [0.5000, 0.5000, 0.5000]]
}


(4)
{
  "formula": "LiTeAu2N",
  "functional": "GGA-PBEsol",
  "state": "relaxed",
  "formation_energy_uncorrected_mev_per_atom": 1166,
  "m_tot_mub_per_atom": 0.559,
  "lattice": [[5.2812, 0.0000, 0.0000], [0.0000, 5.2047, 0.0000], [0.0000, 0.0000, 5.2047]],
  "species": ["Te", "Au", "Au", "Li", "N"],
  "fractional_positions": [[0.0000, 0.0000, 0.0000], [0.0000, 0.0000, 0.5000], [0.0000, 0.5000, 0.0000], [0.5000, 0.0000, 0.0000], [0.5000, 0.5000, 0.5000]]
}


(5)
{
  "formula": "Cu3TcP",
  "functional": "GGA-PBEsol",
  "state": "relaxed",
  "ef_mev_per_atom": 807,
  "m_tot_mub_per_atom": 0.533,
  "lattice": [[4.1813, 0.0000, 0.0000], [0.0000, 4.1813, 0.0000], [0.0000, 0.0000, 4.1813]],
  "species": ["P", "Tc", "Cu", "Cu", "Cu"],
  "fractional_positions": [[0.0000, 0.0000, 0.0000], [0.5000, 0.5000, 0.5000], [0.0000, 0.5000, 0.0000], [0.0000, 0.0000, 0.5000], [0.5000, 0.0000, 0.0000]]
}


(6)
{
  "formula": "LaTcRh2",
  "functional": "GGA-PBEsol",
  "state": "relaxed",
  "ef_mev_per_atom": 210,
  "m_tot_mub_per_atom": 0.002,
  "lattice": [[4.5596, 0.0000, 0.0000], [2.2798, 3.9488, 0.0000], [2.2798, 1.3163, 3.7229]],
  "species": ["La", "Rh", "Rh", "Tc"],
  "fractional_positions": [[0.5000, 0.5000, 0.5000], [0.0000, 0.0000, 0.0000], [0.7500, 0.7500, 0.7500], [0.2500, 0.2500, 0.2500]]
}


(7)
{
  "formula": "Re3Br8Cl",
  "functional": "GGA-PBEsol",
  "state": "relaxed",
  "formation_energy_uncorrected_mev_per_atom": -391,
  "m_tot_mub_per_atom": 0.000,
  "lattice": [[9.7049, 0.2063, -0.1555], [3.8932, 8.9820, -0.1492], [-3.8932, -2.6171, 8.5936]],
  "species": ["Re", "Re", "Re", "Re", "Re", "Re", "Br", "Br", "Br", "Br", "Br", "Br", "Br", "Br", "Br", "Br", "Br", "Br", "Br", "Br", "Br", "Br", "Cl", "Cl"],
  "fractional_positions": [[0.1447, 0.8775, 0.3543], [0.1447, 0.6457, 0.1225], [0.8543, 0.1233, 0.6447], [0.8543, 0.3553, 0.8767], [0.3776, 0.6447, 0.3553], [0.6219, 0.3551, 0.6449], [0.2221, 0.0349, 0.2823], [0.2221, 0.7177, 0.9651], [0.7783, 0.9654, 0.7174], [0.7783, 0.2826, 0.0346], [0.0047, 0.8278, 0.4882], [0.0047, 0.5118, 0.1722], [0.9906, 0.1736, 0.5080], [0.9906, 0.4920, 0.8264], [0.8992, 0.8825, 0.1175], [0.1003, 0.1194, 0.8806], [0.5394, 0.7172, 0.2828], [0.4606, 0.2825, 0.7175], [0.3246, 0.5094, 0.4906], [0.6745, 0.4903, 0.5097], [0.3812, 0.8802, 0.6000], [0.3812, 0.4000, 0.1198], [0.6249, 0.1289, 0.4178], [0.6249, 0.5822, 0.8711]]
}


(8)
{
  "formula": "RbY3Be",
  "functional": "GGA-PBEsol",
  "state": "relaxed",
  "ef_mev_per_atom": 508,
  "m_tot_mub_per_atom": 0.000,
  "lattice": [[-2.9415, 0.3631, 4.5642], [-2.6821, -4.5334, -1.3678], [3.7109, -2.9887, 2.6293]],
  "species": ["Y", "Y", "Y", "Be", "Rb"],
  "fractional_positions": [[0.0000, 0.5000, 0.0000], [0.0000, 0.0000, 0.5000], [0.5000, 0.0000, 0.0000], [0.0000, 0.0000, 0.0000], [0.5000, 0.5000, 0.5000]]
}


no.,total DFT energy (no corrections) (hartree per atom)
1,-0.1235
2,-0.1437
3,-0.2780
4,-0.1179
5,-0.1913
6,-0.2944
7,-0.1888
8,-0.1687